SrAlV3 PBE relaxed; DOS at the Fermi energy = 10.09 states/eV/cell; energy relative to the lowest polymorph listed for this composition = 0 meV per atom
1.0
4.9810 0.0000 0.0000
0.0000 4.9810 0.0000
0.0000 0.0000 4.9810
Sr Al V
1 1 3
Direct
0.0000 0.0000 0.0000
0.5000 0.5000 0.5000
0.0000 0.5000 0.5000
0.5000 0.0000 0.5000
0.5000 0.5000 0.0000